No. 1
Compound: IrRuSe2
Source: the Alexandria database
Functional: PBE
Structure: relaxed

Geometry as POSCAR:
```
IrRuSe2
1.0
1.5274 0.8819 7.8920
-1.5274 0.8819 7.8920
0.0000 -1.7637 7.8920
Ir Ru Se
1 1 2
direct
0.0000 0.0000 0.0000 Ir
0.5000 0.5000 0.5000 Ru
0.2472 0.2472 0.2472 Se
0.7528 0.7528 0.7528 Se
```

Summary:
crystal system = trigonal
DOS at the Fermi energy = 3.77 states/eV/cell
energy above the most stable polymorph in this dataset = 251.9 meV per atom
total moment = 0.0000 μB/atom
E = -5.98 eV/atom
E_form (uncorrected) = 0.301 eV per atom

---

No. 2
Compound: NbGaHg3
Source: the Alexandria database
Functional: PBE
Structure: relaxed

Geometry as POSCAR:
```
NbGaHg3
1.0
4.9928 0.0000 0.0000
0.0000 4.9928 0.0000
0.0000 0.0000 4.9928
Nb Ga Hg
1 1 3
direct
0.0000 0.0000 0.0000 Nb
0.5000 0.5000 0.5000 Ga
0.0000 0.5000 0.5000 Hg
0.5000 0.0000 0.5000 Hg
0.5000 0.5000 0.0000 Hg
```

Summary:
crystal system = cubic
DOS at the Fermi energy = 4.05 states/eV/cell
energy above the most stable polymorph in this dataset = 224.1 meV per atom
total moment = 0.0000 μB/atom
E = -1.78 eV/atom
E_form = 1.020 eV per atom

---

- Which value of E does entry 1 give?
  -5.98 eV/atom